[1]
# Tc2Pt (PBE-GGA, optimized geometry)
data_Tc2Pt
_space_group_name_H-M_alt 'I m m a'
_space_group_IT_number 74
_space_group_name_Hall '-I 2b 2'
_cell_length_a 2.7189
_cell_length_b 4.1530
_cell_length_c 17.1716
_cell_angle_alpha 90.00
_cell_angle_beta 90.00
_cell_angle_gamma 90.00
loop_
_atom_site_label
_atom_site_fract_x
_atom_site_fract_y
_atom_site_fract_z
Tc1 0.0000 0.2500 0.0348
Tc2 0.0000 0.2500 0.1887
Pt1 0.0000 0.2500 0.6235
# Excess energy over the best structure of this formula in the dataset = 1.37 eV/f.u.
# Formation energy = 0.245 eV/atom
# E = -104.1 eV for the cell shown

---

[2]
# TcPt (PBE-GGA, optimized geometry)
data_TcPt
_space_group_name_H-M_alt 'F -4 3 m'
_space_group_IT_number 216
_space_group_name_Hall 'F -4 2 3'
_cell_length_a 5.6210
_cell_length_b 5.6210
_cell_length_c 5.6210
_cell_angle_alpha 90.00
_cell_angle_beta 90.00
_cell_angle_gamma 90.00
loop_
_atom_site_label
_atom_site_fract_x
_atom_site_fract_y
_atom_site_fract_z
Tc1 0.0000 0.0000 0.0000
Pt1 0.2500 0.2500 0.2500
# Excess energy over the best structure of this formula in the dataset = 2.24 eV/f.u.
# Formation energy = 0.962 eV/atom
# E = -57.9 eV for the cell shown

---

[3]
# TcPt2 (PBE-GGA, optimized geometry)
data_TcPt2
_space_group_name_H-M_alt 'C m c m'
_space_group_IT_number 63
_space_group_name_Hall '-C 2c 2'
_cell_length_a 2.7603
_cell_length_b 14.5371
_cell_length_c 4.5441
_cell_angle_alpha 90.00
_cell_angle_beta 90.00
_cell_angle_gamma 90.00
loop_
_atom_site_label
_atom_site_fract_x
_atom_site_fract_y
_atom_site_fract_z
Tc1 0.0000 0.1132 0.2500
Pt1 0.0000 0.2229 0.7500
Pt2 0.0000 0.4484 0.2500
# Excess energy over the best structure of this formula in the dataset = 0.29 eV/f.u.
# Formation energy = -0.097 eV/atom
# E = -90.9 eV for the cell shown

---

[4]
# TcPt3 (PBE-GGA, optimized geometry)
data_TcPt3
_space_group_name_H-M_alt 'I m -3'
_space_group_IT_number 204
_space_group_name_Hall '-I 2 2 3'
_cell_length_a 9.2262
_cell_length_b 9.2262
_cell_length_c 9.2262
_cell_angle_alpha 90.00
_cell_angle_beta 90.00
_cell_angle_gamma 90.00
loop_
_atom_site_label
_atom_site_fract_x
_atom_site_fract_y
_atom_site_fract_z
Tc1 0.2500 0.2500 0.2500
Pt1 0.0000 0.2507 0.1423
# Formation energy = 0.984 eV/atom
# E = -196.4 eV for the cell shown

---

[5]
# Tc3Pt5 (PBE-GGA, optimized geometry)
data_Tc3Pt5
_space_group_name_H-M_alt 'C 1 2/c 1'
_space_group_IT_number 15
_cell_length_a 10.5160
_cell_length_b 9.6561
_cell_length_c 5.3371
_cell_angle_alpha 90.00
_cell_angle_beta 116.40
_cell_angle_gamma 90.00
loop_
_space_group_symop_operation_xyz
'x,y,z'
'-x,-y,-z'
'-x,y,-z+1/2'
'x,-y,z+1/2'
'x+1/2,y+1/2,z'
'-x+1/2,-y+1/2,-z'
'-x+1/2,y+1/2,-z+1/2'
'x+1/2,-y+1/2,z+1/2'
loop_
_atom_site_label
_atom_site_fract_x
_atom_site_fract_y
_atom_site_fract_z
Tc1 0.0000 0.0474 0.2500
Tc2 0.1228 0.2893 0.4852
Pt1 0.0000 0.4587 0.7500
Pt2 0.1239 0.2067 0.0047
Pt3 0.2468 0.0427 0.7397
# Excess energy over the best structure of this formula in the dataset = 0.00 eV/f.u.
# Formation energy = -0.128 eV/atom
# E = -249.3 eV for the cell shown

---

[6]
# TcPt4 (PBE-GGA, optimized geometry)
data_TcPt4
_space_group_name_H-M_alt 'C 1 2/m 1'
_space_group_IT_number 12
_cell_length_a 5.2767
_cell_length_b 7.7096
_cell_length_c 8.1354
_cell_angle_alpha 90.00
_cell_angle_beta 101.55
_cell_angle_gamma 90.00
loop_
_space_group_symop_operation_xyz
'x,y,z'
'-x,-y,-z'
'-x,y,-z'
'x,-y,z'
'x+1/2,y+1/2,z'
'-x+1/2,-y+1/2,-z'
'-x+1/2,y+1/2,-z'
'x+1/2,-y+1/2,z'
loop_
_atom_site_label
_atom_site_fract_x
_atom_site_fract_y
_atom_site_fract_z
Tc1 0.0000 0.2050 0.0000
Pt1 0.1101 0.5000 0.8582
Pt2 0.1792 0.1879 0.7100
Pt3 0.2449 0.0000 0.4435
# Excess energy over the best structure of this formula in the dataset = 0.95 eV/f.u.
# Formation energy = 0.062 eV/atom
# E = -136.9 eV for the cell shown